This record from the Alexandria database describes an optimized crystal structure of MgTaMo4. The functional is GGA-PBE.

The energy relative to the elements is 161 meV per atom. Its final energy is -9.3008 eV per atom.

a = 5.278 Å, b = 5.278 Å, c = 5.278 Å
α = 60.00°, β = 60.00°, γ = 60.00°
Sites, in units of the cell vectors:
1 Mg 0.000 0.000 0.000
2 Ta 0.750 0.750 0.750
3 Mo 0.877 0.374 0.374
4 Mo 0.374 0.374 0.877
5 Mo 0.374 0.877 0.374
6 Mo 0.374 0.374 0.374

***

This record from the Alexandria database describes an optimized crystal structure of MgTa2Mo. The functional is GGA-PBE.

The energy relative to the elements is 238 meV per atom. Its final energy is -8.7945 eV per atom.

a = 5.441 Å, b = 5.441 Å, c = 5.441 Å
α = 144.04°, β = 130.11°, γ = 63.02°
Sites, in units of the cell vectors:
1 Mg 0.489 0.489 0.000
2 Mo 0.238 0.738 0.500
3 Ta 0.017 0.017 0.000
4 Ta 0.756 0.256 0.500

***

This record from the Alexandria database describes an optimized crystal structure of MgTaMo. The functional is GGA-PBE.

The energy above the most stable polymorph in this dataset is 2.38 eV per formula unit. The energy relative to the elements is 985 meV per atom. Its final energy is -7.1075 eV per atom.

a = 4.455 Å, b = 4.455 Å, c = 4.455 Å
α = 60.00°, β = 60.00°, γ = 60.00°
Sites, in units of the cell vectors:
1 Mg 0.500 0.500 0.500
2 Mo 0.750 0.750 0.750
3 Ta 0.000 0.000 0.000